Record 1
# ZrAl2Cu2 GGA-PBEsol optimized geometry
# Polymorph energy (0 for the lowest one), meV per atom: 0
# Formation enthalpy at 0 K, eV/atom: -0.33
data_ZrAl2Cu2
_chemical_formula_sum 'Zr2 Al4 Cu4'
_space_group_name_H-M_alt 'P 4/n m m'
_space_group_IT_number 129
_cell_length_a 3.898
_cell_length_b 3.898
_cell_length_c 10.078
_cell_angle_alpha 90.00
_cell_angle_beta 90.00
_cell_angle_gamma 90.00
loop_
_space_group_symop_operation_xyz
'x,y,z'
'-x,-y,-z'
'-y+1/2,x,z'
'y+1/2,-x,-z'
'-x+1/2,-y+1/2,z'
'x+1/2,y+1/2,-z'
'y,-x+1/2,z'
'-y,x+1/2,-z'
'x+1/2,-y,-z'
'-x+1/2,y,z'
'-y,-x,-z'
'y,x,z'
'-x,y+1/2,-z'
'x,-y+1/2,z'
'y+1/2,x+1/2,-z'
'-y+1/2,-x+1/2,z'
loop_
_atom_site_label
_atom_site_type_symbol
_atom_site_fract_x
_atom_site_fract_y
_atom_site_fract_z
Zr1 Zr 0.250 0.250 0.249
Al1 Al 0.250 0.250 0.635
Al2 Al 0.250 0.750 0.000
Cu1 Cu 0.250 0.250 0.860
Cu2 Cu 0.250 0.750 0.500

=====

Record 2
# LaTl2Cd GGA-PBEsol optimized geometry
# Formation enthalpy at 0 K, eV/atom: -0.22
data_LaTl2Cd
_chemical_formula_sum 'La1 Tl2 Cd1'
_space_group_name_H-M_alt 'P 1 m 1'
_space_group_IT_number 6
_space_group_name_Hall 'P -2y'
_cell_length_a 3.309
_cell_length_b 5.214
_cell_length_c 6.248
_cell_angle_alpha 90.00
_cell_angle_beta 90.05
_cell_angle_gamma 90.00
loop_
_atom_site_label
_atom_site_type_symbol
_atom_site_fract_x
_atom_site_fract_y
_atom_site_fract_z
La1 La 0.000 0.000 0.000
Tl1 Tl 0.498 0.000 0.508
Tl2 Tl 0.502 0.500 0.233
Cd1 Cd 0.499 0.500 0.747

=====

Record 3
# K2HgSb GGA-PBEsol optimized geometry
# Formation energy without anion corrections, kJ per mole of atoms: -24.4
data_K2HgSb
_chemical_formula_sum 'K2 Hg1 Sb1'
_space_group_name_H-M_alt 'P 4/m m m'
_space_group_IT_number 123
_space_group_name_Hall '-P 4 2'
_cell_length_a 6.057
_cell_length_b 6.057
_cell_length_c 3.559
_cell_angle_alpha 90.00
_cell_angle_beta 90.00
_cell_angle_gamma 90.00
loop_
_atom_site_label
_atom_site_type_symbol
_atom_site_fract_x
_atom_site_fract_y
_atom_site_fract_z
K1 K 0.000 0.500 0.000
Hg1 Hg 0.000 0.000 0.500
Sb1 Sb 0.500 0.500 0.500

=====

Record 4
# AlGaBr2 GGA-PBEsol optimized geometry
# Formation energy without anion corrections, kJ per mole of atoms: -22.8
data_AlGaBr2
_chemical_formula_sum 'Al4 Ga4 Br8'
_space_group_name_H-M_alt 'F m -3 m'
_space_group_IT_number 225
_space_group_name_Hall '-F 4 2 3'
_cell_length_a 7.391
_cell_length_b 7.391
_cell_length_c 7.391
_cell_angle_alpha 90.00
_cell_angle_beta 90.00
_cell_angle_gamma 90.00
loop_
_atom_site_label
_atom_site_type_symbol
_atom_site_fract_x
_atom_site_fract_y
_atom_site_fract_z
Al1 Al 0.000 0.000 0.000
Ga1 Ga 0.000 0.000 0.500
Br1 Br 0.250 0.250 0.250

=====

Record 5
# BeFeHg2 GGA-PBEsol optimized geometry
# Formation enthalpy at 0 K, eV/atom: 0.28
data_BeFeHg2
_chemical_formula_sum 'Be1 Fe1 Hg2'
_space_group_name_H-M_alt 'P 4 m m'
_space_group_IT_number 99
_space_group_name_Hall 'P 4 -2'
_cell_length_a 2.962
_cell_length_b 2.962
_cell_length_c 6.917
_cell_angle_alpha 90.00
_cell_angle_beta 90.00
_cell_angle_gamma 90.00
loop_
_atom_site_label
_atom_site_type_symbol
_atom_site_fract_x
_atom_site_fract_y
_atom_site_fract_z
Be1 Be 0.000 0.000 0.000
Fe1 Fe 0.500 0.500 0.120
Hg1 Hg 0.000 0.000 0.386
Hg2 Hg 0.500 0.500 0.730

=====

Record 6
# YTiCdAs2 GGA-PBEsol optimized geometry
# Formation enthalpy at 0 K, eV/atom: 0.07
data_YTiCdAs2
_chemical_formula_sum 'Y1 Ti1 Cd1 As2'
_space_group_name_H-M_alt 'P 4/m m m'
_space_group_IT_number 123
_space_group_name_Hall '-P 4 2'
_cell_length_a 4.809
_cell_length_b 4.809
_cell_length_c 5.325
_cell_angle_alpha 90.00
_cell_angle_beta 90.00
_cell_angle_gamma 90.00
loop_
_atom_site_label
_atom_site_type_symbol
_atom_site_fract_x
_atom_site_fract_y
_atom_site_fract_z
Y1 Y 0.000 0.000 0.000
Ti1 Ti 0.000 0.000 0.500
Cd1 Cd 0.500 0.500 0.000
As1 As 0.000 0.500 0.500